1.
The following is a GGA-PBEsol calculation of a relaxed AgPb2 crystal, from the Alexandria database.

Output
E_form   55 meV per atom

Geometry as CIF:
```
data_AgPb2
_chemical_formula_sum 'Ag2 Pb4'
_space_group_name_H-M_alt 'I 4/m m m'
_space_group_IT_number 139
_space_group_name_Hall '-I 4 2'
_cell_length_a 3.344
_cell_length_b 3.344
_cell_length_c 13.321
_cell_angle_alpha 90.00
_cell_angle_beta 90.00
_cell_angle_gamma 90.00
loop_
_atom_site_label
_atom_site_fract_x
_atom_site_fract_y
_atom_site_fract_z
Ag1 0.000 0.000 0.000
Pb1 0.000 0.000 0.353
```

2.
The following is a GGA-PBEsol calculation of a relaxed Sr2AlAs crystal, from the Alexandria database.

Output
Offset from the most stable computed form   0.0657 eV per atom
E_form   -338 meV per atom

Geometry as CIF:
```
data_Sr2AlAs
_chemical_formula_sum 'Sr4 Al2 As2'
_space_group_name_H-M_alt 'I -4 m 2'
_space_group_IT_number 119
_space_group_name_Hall 'I -4 -2'
_cell_length_a 4.518
_cell_length_b 4.518
_cell_length_c 11.005
_cell_angle_alpha 90.00
_cell_angle_beta 90.00
_cell_angle_gamma 90.00
loop_
_atom_site_label
_atom_site_fract_x
_atom_site_fract_y
_atom_site_fract_z
Sr1 0.000 0.000 0.000
Sr2 0.000 0.500 0.250
Al1 0.000 0.000 0.500
As1 0.000 0.500 0.750
```

3.
The following is a GGA-PBEsol calculation of a relaxed Na2Si2Se5 crystal, from the Alexandria database.

Output
Energy relative to the elements, uncorrected   -6.4 eV/f.u.

Geometry as CIF:
```
data_Na2Si2Se5
_chemical_formula_sum 'Na16 Si16 Se40'
_space_group_name_H-M_alt 'C m c m'
_space_group_IT_number 63
_space_group_name_Hall '-C 2c 2'
_cell_length_a 13.344
_cell_length_b 13.119
_cell_length_c 10.828
_cell_angle_alpha 90.00
_cell_angle_beta 90.00
_cell_angle_gamma 90.00
loop_
_atom_site_label
_atom_site_fract_x
_atom_site_fract_y
_atom_site_fract_z
Na1 0.149 0.000 0.000
Na2 0.175 0.245 0.250
Si1 0.000 0.254 0.582
Si2 0.135 0.453 0.750
Se1 0.000 0.148 0.750
Se2 0.000 0.156 0.086
Se3 0.000 0.441 0.250
Se4 0.143 0.352 0.575
Se5 0.227 0.046 0.750
```

4.
The following is a GGA-PBEsol calculation of a relaxed Mg2RuBr crystal, from the Alexandria database.

Output
Energy relative to the elements, uncorrected   0.4 eV/f.u.

Geometry as CIF:
```
data_Mg2RuBr
_chemical_formula_sum 'Mg2 Ru1 Br1'
_space_group_name_H-M_alt 'P 4/m m m'
_space_group_IT_number 123
_space_group_name_Hall '-P 4 2'
_cell_length_a 4.578
_cell_length_b 4.578
_cell_length_c 3.332
_cell_angle_alpha 90.00
_cell_angle_beta 90.00
_cell_angle_gamma 90.00
loop_
_atom_site_label
_atom_site_fract_x
_atom_site_fract_y
_atom_site_fract_z
Mg1 0.000 0.500 0.000
Ru1 0.000 0.000 0.500
Br1 0.500 0.500 0.500
```

Per-record Fermi-level density of states, states/eV per atom: 0.418, 0.581, 0.000, 0.775